[1]
Density functional theory data (PBE) for a relaxed SrBeCl4 crystal.

Calculated values
**Energy above the most stable polymorph in this dataset**: 0.000 eV per atom
**V**: 26.7 Å³ per atom
**Formation energy without anion corrections**: -1.94 eV per atom

a = 6.035 Å, b = 8.958 Å, c = 6.236 Å
α = 90.00°, β = 107.87°, γ = 90.00°
Atoms (fractional coordinates):
Sr 0.100 0.250 0.163
Sr 0.900 0.750 0.837
Be 0.174 0.750 0.387
Be 0.826 0.250 0.613
Cl 0.173 0.250 0.658
Cl 0.243 0.571 0.214
Cl 0.243 0.929 0.214
Cl 0.352 0.750 0.716
Cl 0.648 0.250 0.284
Cl 0.757 0.071 0.786
Cl 0.757 0.429 0.786
Cl 0.827 0.750 0.342

[2]
Density functional theory data (PBE) for a relaxed SrBeCl2 crystal.

Calculated values
**Energy above the most stable polymorph in this dataset**: 0.000 eV per atom
**V**: 24.5 Å³ per atom
**Formation energy without anion corrections**: -1.06 eV per atom

a = 4.756 Å, b = 3.910 Å, c = 5.634 Å
α = 90.00°, β = 110.70°, γ = 90.00°
Atoms (fractional coordinates):
Sr 0.000 0.000 0.000
Be 0.633 0.500 0.592
Cl 0.324 0.000 0.586
Cl 0.561 0.500 0.206

[3]
Density functional theory data (PBE) for a relaxed SrBeCl2 crystal.

Calculated values
**Energy above the most stable polymorph in this dataset**: 0.472 eV per atom
**V**: 24.9 Å³ per atom
**Formation energy without anion corrections**: -0.58 eV per atom

a = 5.203 Å, b = 5.203 Å, c = 5.203 Å
α = 60.00°, β = 60.00°, γ = 60.00°
Atoms (fractional coordinates):
Sr 0.000 0.000 0.000
Be 0.750 0.750 0.750
Cl 0.250 0.250 0.250
Cl 0.500 0.500 0.500

[4]
Density functional theory data (PBE) for a relaxed SrBe3Cl crystal.

Calculated values
**Energy above the most stable polymorph in this dataset**: 0.692 eV per atom
**V**: 45.3 Å³ per atom
**Formation energy without anion corrections**: 1.75 eV per atom

a = 6.096 Å, b = 6.096 Å, c = 6.096 Å
α = 90.00°, β = 90.00°, γ = 90.00°
Atoms (fractional coordinates):
Sr 0.000 0.000 0.000
Be 0.000 0.000 0.500
Be 0.000 0.500 0.000
Be 0.500 0.000 0.000
Cl 0.500 0.500 0.500

[5]
Density functional theory data (PBE) for a relaxed SrBe3Cl crystal.

Calculated values
**Energy above the most stable polymorph in this dataset**: 0.000 eV per atom
**V**: 21.0 Å³ per atom
**Formation energy without anion corrections**: 1.06 eV per atom

a = 4.720 Å, b = 4.720 Å, c = 4.720 Å
α = 90.00°, β = 90.00°, γ = 90.00°
Atoms (fractional coordinates):
Sr 0.000 0.000 0.000
Be 0.000 0.500 0.500
Be 0.500 0.000 0.500
Be 0.500 0.500 0.000
Cl 0.500 0.500 0.500

[6]
Density functional theory data (PBE) for a relaxed SrBeCl2 crystal.

Calculated values
**Energy above the most stable polymorph in this dataset**: 0.222 eV per atom
**V**: 29.3 Å³ per atom
**Formation energy without anion corrections**: -0.83 eV per atom

a = 7.311 Å, b = 7.311 Å, c = 7.311 Å
α = 150.14°, β = 142.83°, γ = 48.38°
Atoms (fractional coordinates):
Sr 0.000 0.000 0.000
Be 0.224 0.724 0.500
Cl 0.535 0.535 0.000
Cl 0.836 0.336 0.500

[7]
Density functional theory data (PBE) for a relaxed SrBeCl2 crystal.

Calculated values
**Energy above the most stable polymorph in this dataset**: 0.153 eV per atom
**V**: 24.5 Å³ per atom
**Formation energy without anion corrections**: -0.90 eV per atom

a = 4.117 Å, b = 4.117 Å, c = 5.782 Å
α = 90.00°, β = 90.00°, γ = 90.00°
Atoms (fractional coordinates):
Sr 0.000 0.000 0.000
Be 0.500 0.500 0.382
Cl 0.000 0.000 0.480
Cl 0.500 0.500 0.743

[8]
Density functional theory data (PBE) for a relaxed SrBeCl2 crystal.

Calculated values
**Energy above the most stable polymorph in this dataset**: 0.257 eV per atom
**V**: 23.8 Å³ per atom
**Formation energy without anion corrections**: -0.80 eV per atom

a = 4.849 Å, b = 4.849 Å, c = 4.054 Å
α = 90.14°, β = 90.14°, γ = 89.98°
Atoms (fractional coordinates):
Sr 0.000 0.000 0.000
Be 0.500 0.500 0.000
Cl 0.000 0.500 0.500
Cl 0.500 0.000 0.500

[9]
Density functional theory data (PBE) for a relaxed SrBeCl2 crystal.

Calculated values
**Energy above the most stable polymorph in this dataset**: 0.127 eV per atom
**V**: 40.4 Å³ per atom
**Formation energy without anion corrections**: -0.93 eV per atom

a = 9.934 Å, b = 9.934 Å, c = 9.934 Å
α = 25.64°, β = 25.64°, γ = 25.64°
Atoms (fractional coordinates):
Sr 0.000 0.000 0.000
Be 0.500 0.500 0.500
Cl 0.284 0.284 0.284
Cl 0.716 0.716 0.716

[10]
Density functional theory data (PBE) for a relaxed SrBeCl2 crystal.

Calculated values
**Energy above the most stable polymorph in this dataset**: 0.293 eV per atom
**V**: 24.3 Å³ per atom
**Formation energy without anion corrections**: -0.76 eV per atom

a = 6.073 Å, b = 6.073 Å, c = 6.073 Å
α = 138.49°, β = 138.49°, γ = 60.15°
Atoms (fractional coordinates):
Sr 0.000 0.000 0.000
Be 0.250 0.750 0.500
Cl 0.500 0.500 0.000
Cl 0.750 0.250 0.500

[11]
Density functional theory data (PBE) for a relaxed SrBeCl2 crystal.

Calculated values
**Energy above the most stable polymorph in this dataset**: 0.554 eV per atom
**V**: 25.2 Å³ per atom
**Formation energy without anion corrections**: -0.50 eV per atom

a = 9.163 Å, b = 9.163 Å, c = 9.163 Å
α = 22.72°, β = 22.72°, γ = 22.72°
Atoms (fractional coordinates):
Sr 0.000 0.000 0.000
Be 0.500 0.500 0.500
Cl 0.121 0.121 0.121
Cl 0.879 0.879 0.879

[12]
Density functional theory data (PBE) for a relaxed Sr4BeCl crystal.

Calculated values
**V**: 48.4 Å³ per atom
**Formation energy without anion corrections**: 0.53 eV per atom

a = 7.431 Å, b = 7.431 Å, c = 7.431 Å
α = 60.00°, β = 60.00°, γ = 60.00°
Atoms (fractional coordinates):
Sr 0.124 0.124 0.124
Sr 0.124 0.124 0.628
Sr 0.124 0.628 0.124
Sr 0.628 0.124 0.124
Be 0.750 0.750 0.750
Cl 0.500 0.500 0.500